Entry 1:
# NiHg2I | Alexandria | PBE | optimized geometry
# DOS at the Fermi energy in states/eV/cell: 2.516
# Distance to the lowest polymorph of the same formula in eV/f.u.: 0.00
data_NiHg2I
_chemical_formula_sum 'Ni2 Hg4 I2'
_cell_length_a 5.4969
_cell_length_b 5.4969
_cell_length_c 9.1797
_cell_angle_alpha 72.58
_cell_angle_beta 72.58
_cell_angle_gamma 90.00
_symmetry_space_group_name_H-M 'P 1'
_symmetry_Int_Tables_number 1
_symmetry_space_group_name_Hall 'P 1'
loop_
_atom_site_label
_atom_site_type_symbol
_atom_site_fract_x
_atom_site_fract_y
_atom_site_fract_z
I1 I 0.0000 0.0000 0.0000
I2 I 0.7500 0.2500 0.5000
Ni1 Ni 0.5000 0.5000 0.0000
Ni2 Ni 0.2500 0.7500 0.5000
Hg1 Hg 0.4908 0.1250 0.2500
Hg2 Hg 0.2592 0.6250 0.2500
Hg3 Hg 0.3750 0.5092 0.7500
Hg4 Hg 0.8750 0.7408 0.7500

=====

Entry 2:
# NiHg2I4 | Alexandria | PBE | optimized geometry
# DOS at the Fermi energy in states/eV/cell: 4.342
# DFT total energy in eV per atom: -1.79
data_NiHg2I4
_chemical_formula_sum 'Ni1 Hg2 I4'
_cell_length_a 5.4777
_cell_length_b 5.4777
_cell_length_c 8.4786
_cell_angle_alpha 71.15
_cell_angle_beta 71.15
_cell_angle_gamma 90.00
_symmetry_space_group_name_H-M 'P 1'
_symmetry_Int_Tables_number 1
_symmetry_space_group_name_Hall 'P 1'
loop_
_atom_site_label
_atom_site_type_symbol
_atom_site_fract_x
_atom_site_fract_y
_atom_site_fract_z
I1 I 0.8213 0.8213 0.3574
I2 I 0.1787 0.1787 0.6426
I3 I 0.0000 0.5000 0.0000
I4 I 0.5000 0.0000 0.0000
Ni1 Ni 0.0000 0.0000 0.0000
Hg1 Hg 0.6298 0.6298 0.7404
Hg2 Hg 0.3702 0.3702 0.2596

=====

Entry 3:
# NiHgI3 | Alexandria | PBE | optimized geometry
# DOS at the Fermi energy in states/eV/cell: 6.198
# Distance to the lowest polymorph of the same formula in eV/f.u.: 0.00
data_NiHgI3
_chemical_formula_sum 'Ni1 Hg1 I3'
_cell_length_a 5.3703
_cell_length_b 5.3703
_cell_length_c 5.3703
_cell_angle_alpha 90.00
_cell_angle_beta 90.00
_cell_angle_gamma 90.00
_symmetry_space_group_name_H-M 'P 1'
_symmetry_Int_Tables_number 1
_symmetry_space_group_name_Hall 'P 1'
loop_
_atom_site_label
_atom_site_type_symbol
_atom_site_fract_x
_atom_site_fract_y
_atom_site_fract_z
I1 I 0.0000 0.5000 0.0000
I2 I 0.0000 0.0000 0.5000
I3 I 0.5000 0.0000 0.0000
Ni1 Ni 0.0000 0.0000 0.0000
Hg1 Hg 0.5000 0.5000 0.5000

=====

Entry 4:
# Ni5Hg12I3 | Alexandria | PBE | optimized geometry
# DOS at the Fermi energy in states/eV/cell: 36.584
# DFT total energy in eV per atom: -1.57
data_Ni5Hg12I3
_chemical_formula_sum 'Ni20 Hg48 I12'
_cell_length_a 14.7322
_cell_length_b 14.7322
_cell_length_c 14.7322
_cell_angle_alpha 109.47
_cell_angle_beta 109.47
_cell_angle_gamma 109.47
_symmetry_space_group_name_H-M 'P 1'
_symmetry_Int_Tables_number 1
_symmetry_space_group_name_Hall 'P 1'
loop_
_atom_site_label
_atom_site_type_symbol
_atom_site_fract_x
_atom_site_fract_y
_atom_site_fract_z
I1 I 0.7500 0.3750 0.1250
I2 I 0.8750 0.7500 0.1250
I3 I 0.3750 0.7500 0.6250
I4 I 0.2500 0.1250 0.3750
I5 I 0.8750 0.1250 0.2500
I6 I 0.3750 0.6250 0.2500
I7 I 0.6250 0.3750 0.7500
I8 I 0.1250 0.8750 0.7500
I9 I 0.7500 0.8750 0.6250
I10 I 0.6250 0.2500 0.3750
I11 I 0.1250 0.2500 0.8750
I12 I 0.2500 0.6250 0.8750
Ni1 Ni 0.1250 0.3750 0.2500
Ni2 Ni 0.0000 0.5000 0.0000
Ni3 Ni 0.0000 0.0000 0.0000
Ni4 Ni 0.3750 0.2500 0.1250
Ni5 Ni 0.5000 0.0000 0.5000
Ni6 Ni 0.5000 0.5000 0.0000
Ni7 Ni 0.1250 0.7500 0.3750
Ni8 Ni 0.7500 0.1250 0.8750
Ni9 Ni 0.7500 0.6250 0.3750
Ni10 Ni 0.3750 0.1250 0.7500
Ni11 Ni 0.6250 0.8750 0.2500
Ni12 Ni 0.5000 0.5000 0.5000
Ni13 Ni 0.5000 0.0000 0.0000
Ni14 Ni 0.0000 0.0000 0.5000
Ni15 Ni 0.2500 0.3750 0.6250
Ni16 Ni 0.2500 0.8750 0.1250
Ni17 Ni 0.0000 0.5000 0.5000
Ni18 Ni 0.8750 0.2500 0.6250
Ni19 Ni 0.6250 0.7500 0.8750
Ni20 Ni 0.8750 0.6250 0.7500
Hg1 Hg 0.6839 0.0978 0.0073
Hg2 Hg 0.3234 0.5073 0.4095
Hg3 Hg 0.9927 0.4022 0.3161
Hg4 Hg 0.5073 0.1839 0.0978
Hg5 Hg 0.5861 0.6839 0.6766
Hg6 Hg 0.9927 0.5905 0.1766
Hg7 Hg 0.3234 0.8161 0.4139
Hg8 Hg 0.0905 0.9139 0.0978
Hg9 Hg 0.5905 0.9927 0.6766
Hg10 Hg 0.6839 0.5861 0.1766
Hg11 Hg 0.8161 0.4927 0.4022
Hg12 Hg 0.8234 0.9095 0.0073
Hg13 Hg 0.0978 0.6839 0.5073
Hg14 Hg 0.4022 0.4095 0.0861
Hg15 Hg 0.0861 0.9095 0.4022
Hg16 Hg 0.4139 0.0978 0.5905
Hg17 Hg 0.0861 0.1766 0.1839
Hg18 Hg 0.4927 0.6766 0.0905
Hg19 Hg 0.8234 0.9139 0.3161
Hg20 Hg 0.0978 0.4139 0.0905
Hg21 Hg 0.4022 0.9927 0.8161
Hg22 Hg 0.5905 0.5978 0.4139
Hg23 Hg 0.9095 0.8234 0.5073
Hg24 Hg 0.8161 0.3234 0.9139
Hg25 Hg 0.4095 0.4022 0.5861
Hg26 Hg 0.0905 0.1766 0.4927
Hg27 Hg 0.1839 0.6766 0.0861
Hg28 Hg 0.1766 0.0861 0.6839
Hg29 Hg 0.5978 0.0073 0.1839
Hg30 Hg 0.9022 0.5861 0.9095
Hg31 Hg 0.5073 0.3234 0.9095
Hg32 Hg 0.5861 0.9022 0.4095
Hg33 Hg 0.9139 0.8234 0.8161
Hg34 Hg 0.9139 0.0905 0.5978
Hg35 Hg 0.9022 0.3161 0.4927
Hg36 Hg 0.1766 0.0905 0.9927
Hg37 Hg 0.5978 0.5905 0.9139
Hg38 Hg 0.4095 0.0073 0.3234
Hg39 Hg 0.3161 0.4139 0.8234
Hg40 Hg 0.1839 0.5073 0.5978
Hg41 Hg 0.9095 0.0861 0.9022
Hg42 Hg 0.6766 0.1839 0.5861
Hg43 Hg 0.4927 0.8161 0.9022
Hg44 Hg 0.0073 0.4095 0.8234
Hg45 Hg 0.4139 0.3161 0.3234
Hg46 Hg 0.0073 0.5978 0.6839
Hg47 Hg 0.6766 0.4927 0.5905
Hg48 Hg 0.3161 0.9022 0.9927

=====

Entry 5:
# Ni5Hg3I12 | Alexandria | PBE | optimized geometry
# DOS at the Fermi energy in states/eV/cell: 46.970
# DFT total energy in eV per atom: -2.44
data_Ni5Hg3I12
_chemical_formula_sum 'Ni20 Hg12 I48'
_cell_length_a 15.0144
_cell_length_b 15.0144
_cell_length_c 15.0144
_cell_angle_alpha 109.47
_cell_angle_beta 109.47
_cell_angle_gamma 109.47
_symmetry_space_group_name_H-M 'P 1'
_symmetry_Int_Tables_number 1
_symmetry_space_group_name_Hall 'P 1'
loop_
_atom_site_label
_atom_site_type_symbol
_atom_site_fract_x
_atom_site_fract_y
_atom_site_fract_z
Hg1 Hg 0.7500 0.3750 0.1250
Hg2 Hg 0.8750 0.7500 0.1250
Hg3 Hg 0.3750 0.7500 0.6250
Hg4 Hg 0.2500 0.1250 0.3750
Hg5 Hg 0.8750 0.1250 0.2500
Hg6 Hg 0.3750 0.6250 0.2500
Hg7 Hg 0.6250 0.3750 0.7500
Hg8 Hg 0.1250 0.8750 0.7500
Hg9 Hg 0.7500 0.8750 0.6250
Hg10 Hg 0.6250 0.2500 0.3750
Hg11 Hg 0.1250 0.2500 0.8750
Hg12 Hg 0.2500 0.6250 0.8750
Ni1 Ni 0.1250 0.3750 0.2500
Ni2 Ni 0.0000 0.5000 0.0000
Ni3 Ni 0.0000 0.0000 0.0000
Ni4 Ni 0.3750 0.2500 0.1250
Ni5 Ni 0.5000 0.0000 0.5000
Ni6 Ni 0.5000 0.5000 0.0000
Ni7 Ni 0.1250 0.7500 0.3750
Ni8 Ni 0.7500 0.1250 0.8750
Ni9 Ni 0.7500 0.6250 0.3750
Ni10 Ni 0.3750 0.1250 0.7500
Ni11 Ni 0.6250 0.8750 0.2500
Ni12 Ni 0.5000 0.5000 0.5000
Ni13 Ni 0.5000 0.0000 0.0000
Ni14 Ni 0.0000 0.0000 0.5000
Ni15 Ni 0.2500 0.3750 0.6250
Ni16 Ni 0.2500 0.8750 0.1250
Ni17 Ni 0.0000 0.5000 0.5000
Ni18 Ni 0.8750 0.2500 0.6250
Ni19 Ni 0.6250 0.7500 0.8750
Ni20 Ni 0.8750 0.6250 0.7500
I1 I 0.6844 0.1255 0.0087
I2 I 0.3243 0.5087 0.3833
I3 I 0.9913 0.3745 0.3156
I4 I 0.5087 0.1844 0.1255
I5 I 0.5590 0.6844 0.6757
I6 I 0.9913 0.6167 0.1757
I7 I 0.3243 0.8156 0.4410
I8 I 0.1167 0.9410 0.1255
I9 I 0.6167 0.9913 0.6757
I10 I 0.6844 0.5590 0.1757
I11 I 0.8156 0.4913 0.3745
I12 I 0.8243 0.8833 0.0087
I13 I 0.1255 0.6844 0.5087
I14 I 0.3745 0.3833 0.0590
I15 I 0.0590 0.8833 0.3745
I16 I 0.4410 0.1255 0.6167
I17 I 0.0590 0.1757 0.1844
I18 I 0.4913 0.6757 0.1167
I19 I 0.8243 0.9410 0.3156
I20 I 0.1255 0.4410 0.1167
I21 I 0.3745 0.9913 0.8156
I22 I 0.6167 0.6255 0.4410
I23 I 0.8833 0.8243 0.5087
I24 I 0.8156 0.3243 0.9410
I25 I 0.3833 0.3745 0.5590
I26 I 0.1167 0.1757 0.4913
I27 I 0.1844 0.6757 0.0590
I28 I 0.1757 0.0590 0.6844
I29 I 0.6255 0.0087 0.1844
I30 I 0.8745 0.5590 0.8833
I31 I 0.5087 0.3243 0.8833
I32 I 0.5590 0.8745 0.3833
I33 I 0.9410 0.8243 0.8156
I34 I 0.9410 0.1167 0.6255
I35 I 0.8745 0.3156 0.4913
I36 I 0.1757 0.1167 0.9913
I37 I 0.6255 0.6167 0.9410
I38 I 0.3833 0.0087 0.3243
I39 I 0.3156 0.4410 0.8243
I40 I 0.1844 0.5087 0.6255
I41 I 0.8833 0.0590 0.8745
I42 I 0.6757 0.1844 0.5590
I43 I 0.4913 0.8156 0.8745
I44 I 0.0087 0.3833 0.8243
I45 I 0.4410 0.3156 0.3243
I46 I 0.0087 0.6255 0.6844
I47 I 0.6757 0.4913 0.6167
I48 I 0.3156 0.8745 0.9913

=====

Entry 6:
# NiHgI4 | Alexandria | PBE | optimized geometry
# DFT total energy in eV per atom: -2.16
data_NiHgI4
_chemical_formula_sum 'Ni2 Hg2 I8'
_cell_length_a 7.0071
_cell_length_b 7.0305
_cell_length_c 10.7598
_cell_angle_alpha 104.75
_cell_angle_beta 104.67
_cell_angle_gamma 102.81
_symmetry_space_group_name_H-M 'P 1'
_symmetry_Int_Tables_number 1
_symmetry_space_group_name_Hall 'P 1'
loop_
_atom_site_label
_atom_site_type_symbol
_atom_site_fract_x
_atom_site_fract_y
_atom_site_fract_z
Ni1 Ni 0.8029 0.0529 0.1059
Ni2 Ni 0.1971 0.9471 0.8941
Hg1 Hg 0.3707 0.6207 0.2415
Hg2 Hg 0.6293 0.3793 0.7585
I1 I 0.2681 0.0595 0.6743
I2 I 0.0613 0.8162 0.0818
I3 I 0.0938 0.3853 0.3257
I4 I 0.4795 0.7345 0.9182
I5 I 0.7319 0.9405 0.3257
I6 I 0.9062 0.6147 0.6743
I7 I 0.9387 0.1838 0.9182
I8 I 0.5205 0.2655 0.0818

=====

Entry 7:
# Ni3Hg5I12 | Alexandria | PBE | optimized geometry
# DOS at the Fermi energy in states/eV/cell: 62.164
# DFT total energy in eV per atom: -1.88
data_Ni3Hg5I12
_chemical_formula_sum 'Ni12 Hg20 I48'
_cell_length_a 15.8934
_cell_length_b 15.8934
_cell_length_c 15.8934
_cell_angle_alpha 109.47
_cell_angle_beta 109.47
_cell_angle_gamma 109.47
_symmetry_space_group_name_H-M 'P 1'
_symmetry_Int_Tables_number 1
_symmetry_space_group_name_Hall 'P 1'
loop_
_atom_site_label
_atom_site_type_symbol
_atom_site_fract_x
_atom_site_fract_y
_atom_site_fract_z
Ni1 Ni 0.7500 0.3750 0.1250
Ni2 Ni 0.8750 0.7500 0.1250
Ni3 Ni 0.3750 0.7500 0.6250
Ni4 Ni 0.2500 0.1250 0.3750
Ni5 Ni 0.8750 0.1250 0.2500
Ni6 Ni 0.3750 0.6250 0.2500
Ni7 Ni 0.6250 0.3750 0.7500
Ni8 Ni 0.1250 0.8750 0.7500
Ni9 Ni 0.7500 0.8750 0.6250
Ni10 Ni 0.6250 0.2500 0.3750
Ni11 Ni 0.1250 0.2500 0.8750
Ni12 Ni 0.2500 0.6250 0.8750
Hg1 Hg 0.1250 0.3750 0.2500
Hg2 Hg 0.0000 0.5000 0.0000
Hg3 Hg 0.0000 0.0000 0.0000
Hg4 Hg 0.3750 0.2500 0.1250
Hg5 Hg 0.5000 0.0000 0.5000
Hg6 Hg 0.5000 0.5000 0.0000
Hg7 Hg 0.1250 0.7500 0.3750
Hg8 Hg 0.7500 0.1250 0.8750
Hg9 Hg 0.7500 0.6250 0.3750
Hg10 Hg 0.3750 0.1250 0.7500
Hg11 Hg 0.6250 0.8750 0.2500
Hg12 Hg 0.5000 0.5000 0.5000
Hg13 Hg 0.5000 0.0000 0.0000
Hg14 Hg 0.0000 0.0000 0.5000
Hg15 Hg 0.2500 0.3750 0.6250
Hg16 Hg 0.2500 0.8750 0.1250
Hg17 Hg 0.0000 0.5000 0.5000
Hg18 Hg 0.8750 0.2500 0.6250
Hg19 Hg 0.6250 0.7500 0.8750
Hg20 Hg 0.8750 0.6250 0.7500
I1 I 0.6212 0.1896 0.9893
I2 I 0.3681 0.4893 0.2997
I3 I 0.0107 0.3104 0.3788
I4 I 0.4893 0.1212 0.1896
I5 I 0.4316 0.6212 0.6319
I6 I 0.0107 0.7003 0.1319
I7 I 0.3681 0.8788 0.5684
I8 I 0.2003 0.0684 0.1896
I9 I 0.7003 0.0107 0.6319
I10 I 0.6212 0.4316 0.1319
I11 I 0.8788 0.5107 0.3104
I12 I 0.8681 0.7997 0.9893
I13 I 0.1896 0.6212 0.4893
I14 I 0.3104 0.2997 0.9316
I15 I 0.9316 0.7997 0.3104
I16 I 0.5684 0.1896 0.7003
I17 I 0.9316 0.1319 0.1212
I18 I 0.5107 0.6319 0.2003
I19 I 0.8681 0.0684 0.3788
I20 I 0.1896 0.5684 0.2003
I21 I 0.3104 0.0107 0.8788
I22 I 0.7003 0.6896 0.5684
I23 I 0.7997 0.8681 0.4893
I24 I 0.8788 0.3681 0.0684
I25 I 0.2997 0.3104 0.4316
I26 I 0.2003 0.1319 0.5107
I27 I 0.1212 0.6319 0.9316
I28 I 0.1319 0.9316 0.6212
I29 I 0.6896 0.9893 0.1212
I30 I 0.8104 0.4316 0.7997
I31 I 0.4893 0.3681 0.7997
I32 I 0.4316 0.8104 0.2997
I33 I 0.0684 0.8681 0.8788
I34 I 0.0684 0.2003 0.6896
I35 I 0.8104 0.3788 0.5107
I36 I 0.1319 0.2003 0.0107
I37 I 0.6896 0.7003 0.0684
I38 I 0.2997 0.9893 0.3681
I39 I 0.3788 0.5684 0.8681
I40 I 0.1212 0.4893 0.6896
I41 I 0.7997 0.9316 0.8104
I42 I 0.6319 0.1212 0.4316
I43 I 0.5107 0.8788 0.8104
I44 I 0.9893 0.2997 0.8681
I45 I 0.5684 0.3788 0.3681
I46 I 0.9893 0.6896 0.6212
I47 I 0.6319 0.5107 0.7003
I48 I 0.3788 0.8104 0.0107

=====

Entry 8:
# Ni2HgI | Alexandria | PBE | optimized geometry
# DOS at the Fermi energy in states/eV/cell: 5.672
# Distance to the lowest polymorph of the same formula in eV/f.u.: 0.00
data_Ni2HgI
_chemical_formula_sum 'Ni4 Hg2 I2'
_cell_length_a 5.1967
_cell_length_b 5.1967
_cell_length_c 7.8886
_cell_angle_alpha 70.77
_cell_angle_beta 70.77
_cell_angle_gamma 90.00
_symmetry_space_group_name_H-M 'P 1'
_symmetry_Int_Tables_number 1
_symmetry_space_group_name_Hall 'P 1'
loop_
_atom_site_label
_atom_site_type_symbol
_atom_site_fract_x
_atom_site_fract_y
_atom_site_fract_z
I1 I 0.5000 0.5000 0.0000
I2 I 0.2500 0.7500 0.5000
Ni1 Ni 0.5883 0.1250 0.2500
Ni2 Ni 0.1617 0.6250 0.2500
Ni3 Ni 0.3750 0.4117 0.7500
Ni4 Ni 0.8750 0.8383 0.7500
Hg1 Hg 0.0000 0.0000 0.0000
Hg2 Hg 0.7500 0.2500 0.5000